# V7P2N2

Crystalline V7P2N2 at its relaxed geometry (GGA-PBE, Alexandria).

DFT total energy = -98.58 eV/cell
symmetry = Imm2 (44)
uncorrected formation energy = -662 meV per atom
volume = 124.0 Å³/f.u.

Cell: 7.1234 7.1234 7.1234 Å, 156.64 65.88 119.39°
Last column: nearest neighbours and their distance in Å.
Fractional coordinates of all 11 atoms:
V (0.0000, 0.0000, 0.0000)  3 P 2.38-2.42
V (0.2877, 0.4190, 0.8688)  2 N 2.10
V (0.3025, 0.6148, 0.6877)  3 N 2.17-2.27
V (0.5502, 0.4190, 0.1312)  2 N 2.10
V (0.6108, 0.2603, 0.3506)  2 N 2.10
V (0.9097, 0.2603, 0.6494)  2 N 2.10
V (0.9271, 0.6148, 0.3123)  3 N 2.17-2.27
P (0.2636, 0.7636, 0.5000)  8 V 2.38-2.49
P (0.6638, 0.6638, 0.0000)  7 V 2.36-2.42
N (0.1492, 0.9073, 0.2418)  7 V 2.10-2.27
N (0.6655, 0.9073, 0.7582)  7 V 2.10-2.27

***

# BaMg14W

Crystalline BaMg14W at its relaxed geometry (GGA-PBE, Alexandria).

DFT total energy = -33.49 eV/cell
energy relative to the lowest polymorph listed for this composition = 0.0 kJ/mol of atoms
calculated formation energy = 0.2320 eV per atom
symmetry = P-6m2 (187)
volume = 383.0 Å³/f.u.

Cell: 6.4987 6.4987 10.4718 Å, 90.00 90.00 120.00°
Last column: nearest neighbours and their distance in Å.
Fractional coordinates of all 16 atoms:
Ba (0.0000, 0.0000, 0.0000)  12 Mg 3.25-3.46
Mg (0.0159, 0.5079, 0.0000)  10 Mg 3.09-3.46, 2 Ba 3.25
Mg (0.1635, 0.3270, 0.2794)  1 W 2.95, 6 Mg 3.01-3.28
Mg (0.1635, 0.3270, 0.7206)  1 W 2.95, 6 Mg 3.01-3.28
Mg (0.1635, 0.8365, 0.2794)  1 W 2.95, 6 Mg 3.01-3.28
Mg (0.1635, 0.8365, 0.7206)  1 W 2.95, 6 Mg 3.01-3.28
Mg (0.4921, 0.5079, 0.0000)  10 Mg 3.09-3.46, 2 Ba 3.25
Mg (0.4921, 0.9841, 0.0000)  10 Mg 3.09-3.46, 2 Ba 3.25
Mg (0.5056, 0.0112, 0.5000)  10 Mg 3.01-3.36, 2 W 3.25
Mg (0.5056, 0.4944, 0.5000)  10 Mg 3.01-3.36, 2 W 3.25
Mg (0.6667, 0.3333, 0.2366)  12 Mg 3.16-3.30
Mg (0.6667, 0.3333, 0.7634)  12 Mg 3.16-3.30
Mg (0.6730, 0.8365, 0.2794)  1 W 2.95, 6 Mg 3.01-3.28
Mg (0.6730, 0.8365, 0.7206)  1 W 2.95, 6 Mg 3.01-3.28
Mg (0.9888, 0.4944, 0.5000)  10 Mg 3.01-3.36, 2 W 3.25
W (0.0000, 0.0000, 0.5000)  12 Mg 2.95-3.25

***

# NdY2Er5Sc

Crystalline NdY2Er5Sc at its relaxed geometry (GGA-PBE, Alexandria).

DFT total energy = -90.58 eV/cell
calculated formation energy = 0.1725 eV per atom
symmetry = Cmc2_1 (36)
volume = 281.9 Å³/f.u.

Cell: 10.1665 10.1665 10.3684 Å, 90.00 90.00 148.26°
Last column: nearest neighbours and their distance in Å.
Fractional coordinates of all 18 atoms:
Nd (0.0855, 0.9145, 0.5000)  5 Er 3.01-3.21
Nd (0.9145, 0.0855, 0.0000)  5 Er 3.01-3.21
Y (0.3868, 0.6132, 0.7789)  1 Sc 3.34, 7 Er 3.41-3.62, 2 Nd 3.64
Y (0.3889, 0.6111, 0.3611)  9 Er 3.27-3.53, 1 Sc 3.56
Y (0.6111, 0.3889, 0.8611)  9 Er 3.27-3.53, 1 Sc 3.56
Y (0.6132, 0.3868, 0.2789)  1 Sc 3.34, 7 Er 3.41-3.62, 2 Nd 3.64
Er (0.0190, 0.9810, 0.7832)  2 Nd 3.04-3.21
Er (0.1216, 0.8784, 0.0653)  4 Y 3.50-3.56, 1 Sc 3.53, 4 Er 3.55-3.68
Er (0.2020, 0.7980, 0.7506)  4 Er 3.37-3.62, 3 Sc 3.42-3.75, 1 Nd 3.46, 3 Y 3.49-3.62
Er (0.2219, 0.7781, 0.3661)  1 Nd 3.01, 1 Y 3.27
Er (0.4801, 0.5199, 0.0667)  2 Nd 3.14, 3 Y 3.33-3.50, 1 Sc 3.48
Er (0.5199, 0.4801, 0.5667)  2 Nd 3.14, 3 Y 3.33-3.50, 1 Sc 3.48
Er (0.7781, 0.2219, 0.8661)  1 Nd 3.01, 1 Y 3.27
Er (0.7980, 0.2020, 0.2506)  4 Er 3.37-3.62, 3 Sc 3.42-3.75, 1 Nd 3.46, 3 Y 3.49-3.62
Er (0.8784, 0.1216, 0.5653)  4 Y 3.50-3.56, 1 Sc 3.53, 4 Er 3.55-3.68
Er (0.9810, 0.0190, 0.2832)  2 Nd 3.04-3.21
Sc (0.3023, 0.6977, 0.0592)  2 Y 3.34-3.56, 7 Er 3.42-3.55, 2 Nd 3.60
Sc (0.6977, 0.3023, 0.5592)  2 Y 3.34-3.56, 7 Er 3.42-3.55, 2 Nd 3.60

***

# PI2Cl

Crystalline PI2Cl at its relaxed geometry (GGA-PBE, Alexandria).

DFT total energy = -31.71 eV/cell
energy relative to the lowest polymorph listed for this composition = 82.5 kJ/mol of atoms
symmetry = Fm-3m (225)
uncorrected formation energy = 607 meV per atom
volume = 100.5 Å³/f.u.

Cell: 7.3805 7.3805 7.3805 Å, 90.00 90.00 90.00°
Last column: nearest neighbours and their distance in Å.
Fractional coordinates of all 16 atoms:
P (0.0000, 0.0000, 0.0000)  8 I 3.20
P (0.0000, 0.5000, 0.5000)  8 I 3.20
P (0.5000, 0.0000, 0.5000)  8 I 3.20
P (0.5000, 0.5000, 0.0000)  8 I 3.20
I (0.2500, 0.2500, 0.2500)  4 Cl 3.20, 4 P 3.20
I (0.2500, 0.2500, 0.7500)  4 Cl 3.20, 4 P 3.20
I (0.2500, 0.7500, 0.2500)  4 Cl 3.20, 4 P 3.20
I (0.2500, 0.7500, 0.7500)  4 Cl 3.20, 4 P 3.20
I (0.7500, 0.2500, 0.2500)  4 Cl 3.20, 4 P 3.20
I (0.7500, 0.2500, 0.7500)  4 Cl 3.20, 4 P 3.20
I (0.7500, 0.7500, 0.2500)  4 Cl 3.20, 4 P 3.20
I (0.7500, 0.7500, 0.7500)  4 P 3.20, 4 Cl 3.20
Cl (0.0000, 0.0000, 0.5000)  8 I 3.20
Cl (0.0000, 0.5000, 0.0000)  8 I 3.20
Cl (0.5000, 0.0000, 0.0000)  8 I 3.20
Cl (0.5000, 0.5000, 0.5000)  8 I 3.20

***

# PrErHgAu

Crystalline PrErHgAu at its relaxed geometry (GGA-PBE, Alexandria).

DFT total energy = -61.50 eV/cell
energy relative to the lowest polymorph listed for this composition = 3.0 kJ/mol of atoms
calculated formation energy = -0.6135 eV per atom
symmetry = F-43m (216)
volume = 103.1 Å³/f.u.

Cell: 7.4425 7.4425 7.4425 Å, 90.00 90.00 90.00°
Last column: nearest neighbours and their distance in Å.
Fractional coordinates of all 16 atoms:
Pr (0.0000, 0.0000, 0.0000)  4 Hg 3.22, 4 Au 3.22
Pr (0.0000, 0.5000, 0.5000)  4 Hg 3.22, 4 Au 3.22
Pr (0.5000, 0.0000, 0.5000)  4 Hg 3.22, 4 Au 3.22
Pr (0.5000, 0.5000, 0.0000)  4 Hg 3.22, 4 Au 3.22
Er (0.0000, 0.0000, 0.5000)  4 Hg 3.22, 4 Au 3.22
Er (0.0000, 0.5000, 0.0000)  4 Hg 3.22, 4 Au 3.22
Er (0.5000, 0.0000, 0.0000)  4 Hg 3.22, 4 Au 3.22
Er (0.5000, 0.5000, 0.5000)  4 Hg 3.22, 4 Au 3.22
Hg (0.2500, 0.2500, 0.2500)  4 Pr 3.22, 4 Er 3.22
Hg (0.2500, 0.7500, 0.7500)  4 Pr 3.22, 4 Er 3.22
Hg (0.7500, 0.2500, 0.7500)  4 Pr 3.22, 4 Er 3.22
Hg (0.7500, 0.7500, 0.2500)  4 Pr 3.22, 4 Er 3.22
Au (0.2500, 0.2500, 0.7500)  4 Pr 3.22, 4 Er 3.22
Au (0.2500, 0.7500, 0.2500)  4 Pr 3.22, 4 Er 3.22
Au (0.7500, 0.2500, 0.2500)  4 Pr 3.22, 4 Er 3.22
Au (0.7500, 0.7500, 0.7500)  4 Pr 3.22, 4 Er 3.22

***

# In12P3S5

Crystalline In12P3S5 at its relaxed geometry (GGA-PBE, Alexandria).

DFT total energy = -279.11 eV/cell
symmetry = Ia-3d (230)
uncorrected formation energy = -2 meV per atom
volume = 569.9 Å³/f.u.

Cell: 14.3606 14.3606 14.3606 Å, 109.47 109.47 109.47°
Last column: nearest neighbours and their distance in Å.
Fractional coordinates of all 80 atoms:
In (0.0582, 0.2281, 0.1394)  2 S 2.70-2.85, 1 P 2.98
In (0.0582, 0.3300, 0.9188)  2 S 2.70-2.85, 1 P 2.98
In (0.0812, 0.6394, 0.4113)  2 S 2.70-2.85, 1 P 2.98
In (0.0812, 0.9418, 0.6700)  2 S 2.70-2.85, 1 P 2.98
In (0.0887, 0.7281, 0.6700)  2 S 2.70-2.85, 1 P 2.98
In (0.0887, 0.8606, 0.4188)  2 S 2.70-2.85, 1 P 2.98
In (0.1394, 0.0582, 0.2281)  2 S 2.70-2.85, 1 P 2.98
In (0.1394, 0.5812, 0.9113)  2 S 2.70-2.85, 1 P 2.98
In (0.1700, 0.2281, 0.5887)  2 S 2.70-2.85, 1 P 2.98
In (0.1700, 0.4418, 0.5812)  2 S 2.70-2.85, 1 P 2.98
In (0.2281, 0.1394, 0.0582)  2 S 2.70-2.85, 1 P 2.98
In (0.2281, 0.5887, 0.1700)  2 S 2.70-2.85, 1 P 2.98
In (0.2719, 0.3300, 0.9113)  2 S 2.70-2.85, 1 P 2.98
In (0.2719, 0.4418, 0.3606)  2 S 2.70-2.85, 1 P 2.98
In (0.3300, 0.9113, 0.2719)  2 S 2.70-2.85, 1 P 2.98
In (0.3300, 0.9188, 0.0582)  2 S 2.70-2.85, 1 P 2.98
In (0.3606, 0.2719, 0.4418)  2 S 2.70-2.85, 1 P 2.98
In (0.3606, 0.5887, 0.9188)  2 S 2.70-2.85, 1 P 2.98
In (0.4113, 0.0812, 0.6394)  2 S 2.70-2.85, 1 P 2.98
In (0.4113, 0.8300, 0.7719)  2 S 2.70-2.85, 1 P 2.98
In (0.4188, 0.0887, 0.8606)  2 S 2.70-2.85, 1 P 2.98
In (0.4188, 0.8300, 0.5582)  2 S 2.70-2.85, 1 P 2.98
In (0.4418, 0.3606, 0.2719)  2 S 2.70-2.85, 1 P 2.98
In (0.4418, 0.5812, 0.1700)  2 S 2.70-2.85, 1 P 2.98
In (0.5582, 0.4188, 0.8300)  2 S 2.70-2.85, 1 P 2.98
In (0.5582, 0.6394, 0.7281)  2 S 2.70-2.85, 1 P 2.98
In (0.5812, 0.1700, 0.4418)  2 S 2.70-2.85, 1 P 2.98
In (0.5812, 0.9113, 0.1394)  2 S 2.70-2.85, 1 P 2.98
In (0.5887, 0.1700, 0.2281)  2 S 2.70-2.85, 1 P 2.98
In (0.5887, 0.9188, 0.3606)  2 S 2.70-2.85, 1 P 2.98
In (0.6394, 0.4113, 0.0812)  2 S 2.70-2.85, 1 P 2.98
In (0.6394, 0.7281, 0.5582)  2 S 2.70-2.85, 1 P 2.98
In (0.6700, 0.0812, 0.9418)  2 S 2.70-2.85, 1 P 2.98
In (0.6700, 0.0887, 0.7281)  2 S 2.70-2.85, 1 P 2.98
In (0.7281, 0.5582, 0.6394)  2 S 2.70-2.85, 1 P 2.98
In (0.7281, 0.6700, 0.0887)  2 S 2.70-2.85, 1 P 2.98
In (0.7719, 0.4113, 0.8300)  2 S 2.70-2.85, 1 P 2.98
In (0.7719, 0.8606, 0.9418)  2 S 2.70-2.85, 1 P 2.98
In (0.8300, 0.5582, 0.4188)  2 S 2.70-2.85, 1 P 2.98
In (0.8300, 0.7719, 0.4113)  2 S 2.70-2.85, 1 P 2.98
In (0.8606, 0.4188, 0.0887)  2 S 2.70-2.85, 1 P 2.98
In (0.8606, 0.9418, 0.7719)  2 S 2.70-2.85, 1 P 2.98
In (0.9113, 0.1394, 0.5812)  2 S 2.70-2.85, 1 P 2.98
In (0.9113, 0.2719, 0.3300)  2 S 2.70-2.85, 1 P 2.98
In (0.9188, 0.0582, 0.3300)  2 S 2.70-2.85, 1 P 2.98
In (0.9188, 0.3606, 0.5887)  2 S 2.70-2.85, 1 P 2.98
In (0.9418, 0.6700, 0.0812)  2 S 2.70-2.85, 1 P 2.98
In (0.9418, 0.7719, 0.8606)  2 S 2.70-2.85, 1 P 2.98
P (0.1250, 0.2500, 0.3750)  8 In 2.98-3.06
P (0.1250, 0.3750, 0.7500)  8 In 2.98-3.06
P (0.2500, 0.3750, 0.1250)  8 In 2.98-3.06
P (0.2500, 0.8750, 0.6250)  8 In 2.98-3.06
P (0.3750, 0.1250, 0.2500)  8 In 2.98-3.06
P (0.3750, 0.7500, 0.1250)  8 In 2.98-3.06
P (0.6250, 0.2500, 0.8750)  8 In 2.98-3.06
P (0.6250, 0.8750, 0.7500)  8 In 2.98-3.06
P (0.7500, 0.1250, 0.3750)  8 In 2.98-3.06
P (0.7500, 0.6250, 0.8750)  8 In 2.98-3.06
P (0.8750, 0.6250, 0.2500)  8 In 2.98-3.06
P (0.8750, 0.7500, 0.6250)  8 In 2.98-3.06
S (0.0000, 0.0000, 0.0000)  6 In 2.85
S (0.0000, 0.0000, 0.5000)  6 In 2.85
S (0.0000, 0.5000, 0.0000)  6 In 2.85
S (0.0000, 0.5000, 0.5000)  6 In 2.85
S (0.1250, 0.7500, 0.8750)  4 In 2.70
S (0.1250, 0.8750, 0.2500)  4 In 2.70
S (0.2500, 0.1250, 0.8750)  4 In 2.70
S (0.2500, 0.6250, 0.3750)  4 In 2.70
S (0.3750, 0.2500, 0.6250)  4 In 2.70
S (0.3750, 0.6250, 0.7500)  4 In 2.70
S (0.5000, 0.0000, 0.0000)  6 In 2.85
S (0.5000, 0.0000, 0.5000)  6 In 2.85
S (0.5000, 0.5000, 0.0000)  6 In 2.85
S (0.5000, 0.5000, 0.5000)  6 In 2.85
S (0.6250, 0.3750, 0.2500)  4 In 2.70
S (0.6250, 0.7500, 0.3750)  4 In 2.70
S (0.7500, 0.3750, 0.6250)  4 In 2.70
S (0.7500, 0.8750, 0.1250)  4 In 2.70
S (0.8750, 0.1250, 0.7500)  4 In 2.70
S (0.8750, 0.2500, 0.1250)  4 In 2.70

***

# MnGe3P

Crystalline MnGe3P at its relaxed geometry (GGA-PBE, Alexandria).

DFT total energy = -26.16 eV/cell
calculated formation energy = 0.4535 eV per atom
symmetry = Pm-3m (221)
volume = 99.3 Å³/f.u.

Cell: 4.6313 4.6313 4.6313 Å, 90.00 90.00 90.00°
Last column: nearest neighbours and their distance in Å.
Fractional coordinates of all 5 atoms:
Mn (0.0000, 0.0000, 0.0000)  6 Ge 2.32
Ge (0.0000, 0.0000, 0.5000)  2 Mn 2.32
Ge (0.0000, 0.5000, 0.0000)  2 Mn 2.32
Ge (0.5000, 0.0000, 0.0000)  2 Mn 2.32
P (0.5000, 0.5000, 0.5000)  12 Ge 3.27

***

# LiYTaHg2

Crystalline LiYTaHg2 at its relaxed geometry (GGA-PBE, Alexandria).

DFT total energy = -17.09 eV/cell
calculated formation energy = 0.7492 eV per atom
symmetry = P4/mmm (123)
volume = 134.1 Å³/f.u.

Cell: 5.2705 5.2705 4.8280 Å, 90.00 90.00 90.00°
Last column: nearest neighbours and their distance in Å.
Fractional coordinates of all 5 atoms:
Li (0.0000, 0.0000, 0.0000)  2 Ta 2.41
Y (0.5000, 0.5000, 0.0000)  8 Hg 3.57, 4 Li 3.73
Ta (0.0000, 0.0000, 0.5000)  2 Li 2.41, 4 Hg 2.64
Hg (0.0000, 0.5000, 0.5000)  2 Ta 2.64
Hg (0.5000, 0.0000, 0.5000)  2 Ta 2.64